[1]
# Te2SeIBr

An optimized crystal structure of Te2SeIBr (PBE-GGA, the Alexandria database).

## Properties
- raw formation energy (eV/atom) = 0.47
- ρ (g/cm³) = 5.14
- density of states at the Fermi level (states/eV per cell) = 6.5
- crystal system = tetragonal
- E (eV/atom) = -2.125
- energy relative to the lowest polymorph listed for this composition (meV per atom) = 0.0
- magnetization (μB per cell) = 0.00

a = 5.5652 Å, b = 5.5652 Å, c = 5.6430 Å
α = 90.00°, β = 90.00°, γ = 90.00°
Fractional positions:
Te1 0.0000 0.5000 0.0000
Te2 0.5000 0.0000 0.0000
Se1 0.0000 0.0000 0.0000
I1 0.0000 0.0000 0.5000
Br1 0.5000 0.5000 0.5000

---

[2]
# Sc2Si3Ni2

An optimized crystal structure of Sc2Si3Ni2 (PBE-GGA, the Alexandria database).

## Properties
- raw formation energy (eV/atom) = -0.81
- ρ (g/cm³) = 4.65
- density of states at the Fermi level (states/eV per cell) = 7.4
- crystal system = orthorhombic
- E (eV/atom) = -6.597
- magnetization (μB per cell) = 0.00

a = 8.5384 Å, b = 8.5384 Å, c = 6.4581 Å
α = 90.00°, β = 90.00°, γ = 153.72°
Fractional positions:
Sc1 0.0514 0.9486 0.7500
Sc2 0.1567 0.8433 0.2500
Sc3 0.8433 0.1567 0.7500
Sc4 0.9486 0.0514 0.2500
Si1 0.2237 0.7763 0.7500
Si2 0.4350 0.5650 0.5653
Si3 0.4350 0.5650 0.9347
Si4 0.5650 0.4350 0.0653
Si5 0.5650 0.4350 0.4347
Si6 0.7763 0.2237 0.2500
Ni1 0.3044 0.6956 0.0528
Ni2 0.3044 0.6956 0.4472
Ni3 0.6956 0.3044 0.5528
Ni4 0.6956 0.3044 0.9472

---

[3]
# La4CeHo5

An optimized crystal structure of La4CeHo5 (PBE-GGA, the Alexandria database).

## Properties
- ρ (g/cm³) = 7.33
- energy of formation (eV/atom) = 0.20
- density of states at the Fermi level (states/eV per cell) = 18.7
- crystal system = monoclinic
- E (eV/atom) = -4.650
- magnetization (μB per cell) = 0.32

a = 8.7680 Å, b = 8.7680 Å, c = 11.3994 Å
α = 90.68°, β = 90.68°, γ = 23.15°
Fractional positions:
La1 0.0320 0.0320 0.2431
La2 0.3354 0.3354 0.2510
La3 0.6646 0.6646 0.7490
La4 0.9680 0.9680 0.7569
Ce1 0.5000 0.5000 0.0000
Ho1 0.1708 0.1708 0.0435
Ho2 0.1724 0.1724 0.4521
Ho3 0.5000 0.5000 0.5000
Ho4 0.8276 0.8276 0.5479
Ho5 0.8292 0.8292 0.9565

---

Number 1 is which compound? Te2SeIBr

---

Which value of E does entry 2 give? -6.597 eV/atom

---

Repeat the first record exactly.
# Te2SeIBr

An optimized crystal structure of Te2SeIBr (PBE-GGA, the Alexandria database).

## Properties
- raw formation energy (eV/atom) = 0.47
- ρ (g/cm³) = 5.14
- density of states at the Fermi level (states/eV per cell) = 6.5
- crystal system = tetragonal
- E (eV/atom) = -2.125
- energy relative to the lowest polymorph listed for this composition (meV per atom) = 0.0
- magnetization (μB per cell) = 0.00

a = 5.5652 Å, b = 5.5652 Å, c = 5.6430 Å
α = 90.00°, β = 90.00°, γ = 90.00°
Fractional positions:
Te1 0.0000 0.5000 0.0000
Te2 0.5000 0.0000 0.0000
Se1 0.0000 0.0000 0.0000
I1 0.0000 0.0000 0.5000
Br1 0.5000 0.5000 0.5000